No. 1
MnReHg2: relaxed, PBE.

Calculated values
Volume   17.802 A^3/atom
Symmetry   Pm (6)
Energy relative to the lowest polymorph listed for this composition   0.000 eV/atom
Formation energy from the elements   391 meV/atom

a = 2.916 Å, b = 2.902 Å, c = 8.486 Å
α = 90.00°, β = 97.52°, γ = 90.00°
Atoms (fractional coordinates):
Mn (0.000, 0.000, 0.000)
Re (0.439, 0.500, 0.843)
Hg (0.598, 0.500, 0.247)
Hg (0.837, 0.000, 0.573)



No. 2
MnReHg2: relaxed, PBE.

Calculated values
Volume   17.908 A^3/atom
Symmetry   F-43m (216)
Energy relative to the lowest polymorph listed for this composition   0.503 eV/atom
Formation energy from the elements   894 meV/atom

a = 4.662 Å, b = 4.662 Å, c = 4.662 Å
α = 60.00°, β = 60.00°, γ = 60.00°
Atoms (fractional coordinates):
Mn (0.000, 0.000, 0.000)
Re (0.750, 0.750, 0.750)
Hg (0.250, 0.250, 0.250)
Hg (0.500, 0.500, 0.500)



No. 3
MnRe2HgTe: relaxed, PBE.

Calculated values
Volume   20.185 A^3/atom
Formation energy (no corrections)   1.482 eV per atom
Symmetry   P4/mmm (123)

a = 4.528 Å, b = 4.528 Å, c = 4.923 Å
α = 90.00°, β = 90.00°, γ = 90.00°
Atoms (fractional coordinates):
Mn (0.000, 0.000, 0.000)
Re (0.000, 0.500, 0.000)
Re (0.500, 0.000, 0.000)
Hg (0.000, 0.000, 0.500)
Te (0.500, 0.500, 0.500)



No. 4
MnTl2ReHg: relaxed, PBE.

Calculated values
Volume   26.693 A^3/atom
Symmetry   P4/mmm (123)
Formation energy from the elements   1469 meV/atom

a = 5.120 Å, b = 5.120 Å, c = 5.091 Å
α = 90.00°, β = 90.00°, γ = 90.00°
Atoms (fractional coordinates):
Mn (0.000, 0.000, 0.000)
Tl (0.000, 0.500, 0.000)
Tl (0.500, 0.000, 0.000)
Re (0.500, 0.500, 0.500)
Hg (0.000, 0.000, 0.500)



Q: volume of number 1 (MnReHg2)?
A: 17.802 A^3/atom



Q: The lowest volume belongs to which entry?
A: number 1